P | # LaPmGeRh | the Alexandria database | PBE-GGA | optimized geometry
# ρ: 7.9 g/cm³
data_LaPmGeRh
_symmetry_space_group_name_H-M 'F -4 3 m'
_symmetry_Int_Tables_number 216
_symmetry_space_group_name_Hall 'F -4 2 3'
_cell_length_a 7.2892
_cell_length_b 7.2892
_cell_length_c 7.2892
_cell_angle_alpha 90.00
_cell_angle_beta 90.00
_cell_angle_gamma 90.00
loop_
_atom_site_label
_atom_site_type_symbol
_atom_site_fract_x
_atom_site_fract_y
_atom_site_fract_z
La1 La 0.0000 0.0000 0.0000
Pm1 Pm 0.0000 0.0000 0.5000
Ge1 Ge 0.2500 0.2500 0.2500
Rh1 Rh 0.2500 0.2500 0.7500

***

Q | # LaPmGeRh | the Alexandria database | PBE-GGA | optimized geometry
# ρ: 6.8 g/cm³
data_LaPmGeRh
_symmetry_space_group_name_H-M 'P 4/n m m'
_symmetry_Int_Tables_number 129
_cell_length_a 4.7147
_cell_length_b 4.7147
_cell_length_c 10.1376
_cell_angle_alpha 90.00
_cell_angle_beta 90.00
_cell_angle_gamma 90.00
loop_
_symmetry_equiv_pos_as_xyz
'x,y,z'
'-x,-y,-z'
'-y+1/2,x,z'
'y+1/2,-x,-z'
'-x+1/2,-y+1/2,z'
'x+1/2,y+1/2,-z'
'y,-x+1/2,z'
'-y,x+1/2,-z'
'x+1/2,-y,-z'
'-x+1/2,y,z'
'-y,-x,-z'
'y,x,z'
'-x,y+1/2,-z'
'x,-y+1/2,z'
'y+1/2,x+1/2,-z'
'-y+1/2,-x+1/2,z'
loop_
_atom_site_label
_atom_site_type_symbol
_atom_site_fract_x
_atom_site_fract_y
_atom_site_fract_z
La1 La 0.2500 0.2500 0.1719
Pm1 Pm 0.2500 0.7500 0.5000
Ge1 Ge 0.2500 0.2500 0.8842
Rh1 Rh 0.2500 0.2500 0.6521

***

Energies relative to the most stable structure, in meV/atom: P 0; Q 113.

***

P | # LaPmGeRu | the Alexandria database | PBE-GGA | optimized geometry
# ρ: 8.0 g/cm³
data_LaPmGeRu
_symmetry_space_group_name_H-M 'F -4 3 m'
_symmetry_Int_Tables_number 216
_symmetry_space_group_name_Hall 'F -4 2 3'
_cell_length_a 7.2516
_cell_length_b 7.2516
_cell_length_c 7.2516
_cell_angle_alpha 90.00
_cell_angle_beta 90.00
_cell_angle_gamma 90.00
loop_
_atom_site_label
_atom_site_type_symbol
_atom_site_fract_x
_atom_site_fract_y
_atom_site_fract_z
La1 La 0.0000 0.0000 0.0000
Pm1 Pm 0.0000 0.0000 0.5000
Ge1 Ge 0.2500 0.2500 0.2500
Ru1 Ru 0.2500 0.2500 0.7500

***

Q | # LaPmGeRu | the Alexandria database | PBE-GGA | optimized geometry
# ρ: 7.7 g/cm³
data_LaPmGeRu
_symmetry_space_group_name_H-M 'A m m 2'
_symmetry_Int_Tables_number 38
_symmetry_space_group_name_Hall 'A 2 -2'
_cell_length_a 4.3906
_cell_length_b 4.4837
_cell_length_c 10.0180
_cell_angle_alpha 90.00
_cell_angle_beta 90.00
_cell_angle_gamma 90.00
loop_
_atom_site_label
_atom_site_type_symbol
_atom_site_fract_x
_atom_site_fract_y
_atom_site_fract_z
La1 La 0.0000 0.0000 0.0000
Pm1 Pm 0.5000 0.0000 0.2993
Ge1 Ge 0.5000 0.0000 0.6013
Ru1 Ru 0.0000 0.0000 0.7513

***

Energies relative to the most stable structure, in meV/atom: P 229; Q 0.

***

P | # La3PrGe2 | the Alexandria database | PBE-GGA | optimized geometry
# ρ: 6.4 g/cm³
data_La3PrGe2
_symmetry_space_group_name_H-M 'I m m m'
_symmetry_Int_Tables_number 71
_symmetry_space_group_name_Hall '-I 2 2'
_cell_length_a 4.6028
_cell_length_b 4.6638
_cell_length_c 16.9545
_cell_angle_alpha 90.00
_cell_angle_beta 90.00
_cell_angle_gamma 90.00
loop_
_atom_site_label
_atom_site_type_symbol
_atom_site_fract_x
_atom_site_fract_y
_atom_site_fract_z
La1 La 0.0000 0.0000 0.0000
La2 La 0.0000 0.5000 0.3173
Pr1 Pr 0.0000 0.0000 0.5000
Ge1 Ge 0.0000 0.5000 0.1340

***

Q | # La3PrGe2 | the Alexandria database | PBE-GGA | optimized geometry
# ρ: 6.5 g/cm³
data_La3PrGe2
_symmetry_space_group_name_H-M 'C 1 2/m 1'
_symmetry_Int_Tables_number 12
_symmetry_space_group_name_Hall '-C 2y'
_cell_length_a 18.1299
_cell_length_b 4.5424
_cell_length_c 9.7572
_cell_angle_alpha 90.00
_cell_angle_beta 116.18
_cell_angle_gamma 90.00
loop_
_atom_site_label
_atom_site_type_symbol
_atom_site_fract_x
_atom_site_fract_y
_atom_site_fract_z
La1 La 0.0495 0.0000 0.1990
La2 La 0.1540 0.5000 0.9713
La3 La 0.1891 0.5000 0.3870
Pr1 Pr 0.1151 0.0000 0.6297
Ge1 Ge 0.0060 0.5000 0.3696
Ge2 Ge 0.2409 0.0000 0.2217

***

Energies relative to the most stable structure, in meV/atom: P 0; Q 23.